Entry 1:
## TeP2SN (PBE)

Data for a relaxed TeP2SN crystal. Values from VASP.

Distance to the lowest polymorph of the same formula in meV per atom: 1432
Total magnetic moment in μB per formula unit: 1.21
Space group: P4/mmm (123)
ΔE_f (raw) in kJ/mol of formula units: 1175

Geometry as Quantum ESPRESSO input:
```
&SYSTEM
  ibrav = 0, nat = 5, ntyp = 4
/
ATOMIC_SPECIES
Te 127.60 Te.upf
S 32.06 S.upf
N 14.01 N.upf
P 30.97 P.upf
CELL_PARAMETERS angstrom
5.154 0.000 0.000
0.000 5.154 0.000
0.000 0.000 4.912
ATOMIC_POSITIONS crystal
Te 0.000 0.000 0.000
S 0.000 0.000 0.500
N 0.500 0.500 0.500
P 0.000 0.500 0.000
P 0.500 0.000 0.000
```

=====

Entry 2:
## TeP2SN (PBE)

Data for a relaxed TeP2SN crystal. Values from VASP.

Distance to the lowest polymorph of the same formula in meV per atom: 0
Total magnetic moment in μB per formula unit: 0.00
Space group: P4/mmm (123)
ΔE_f (raw) in kJ/mol of formula units: 485

Geometry as Quantum ESPRESSO input:
```
&SYSTEM
  ibrav = 0, nat = 5, ntyp = 4
/
ATOMIC_SPECIES
S 32.06 S.upf
P 30.97 P.upf
N 14.01 N.upf
Te 127.60 Te.upf
CELL_PARAMETERS angstrom
4.235 0.000 0.000
0.000 4.235 0.000
0.000 0.000 4.296
ATOMIC_POSITIONS crystal
S 0.000 0.000 0.500
P 0.500 0.000 0.000
P 0.000 0.500 0.000
N 0.000 0.000 0.000
Te 0.500 0.500 0.500
```

=====

Entry 3:
## TiPS2N (PBE)

Data for a relaxed TiPS2N crystal. Values from VASP.

Distance to the lowest polymorph of the same formula in meV per atom: 703
Total magnetic moment in μB per formula unit: 1.75
Space group: P4/mmm (123)
ΔE_f (raw) in kJ/mol of formula units: 444

Geometry as Quantum ESPRESSO input:
```
&SYSTEM
  ibrav = 0, nat = 5, ntyp = 4
/
ATOMIC_SPECIES
Ti 47.87 Ti.upf
S 32.06 S.upf
N 14.01 N.upf
P 30.97 P.upf
CELL_PARAMETERS angstrom
4.641 0.000 0.000
0.000 4.641 0.000
0.000 0.000 4.885
ATOMIC_POSITIONS crystal
Ti 0.000 0.000 0.000
S 0.000 0.500 0.000
S 0.500 0.000 0.000
N 0.500 0.500 0.500
P 0.000 0.000 0.500
```

=====

Entry 4:
## TiPS2N (PBE)

Data for a relaxed TiPS2N crystal. Values from VASP.

Distance to the lowest polymorph of the same formula in meV per atom: 126
Total magnetic moment in μB per formula unit: 0.00
Space group: P4/mmm (123)
ΔE_f (raw) in kJ/mol of formula units: 166

Geometry as Quantum ESPRESSO input:
```
&SYSTEM
  ibrav = 0, nat = 5, ntyp = 4
/
ATOMIC_SPECIES
S 32.06 S.upf
N 14.01 N.upf
Ti 47.87 Ti.upf
P 30.97 P.upf
CELL_PARAMETERS angstrom
-2.061 2.425 -3.639
-2.811 -3.816 -0.950
-2.549 1.302 2.312
ATOMIC_POSITIONS crystal
S 0.500 0.000 0.000
N 0.000 0.000 0.500
S 0.000 0.500 0.000
Ti 0.000 0.000 0.000
P 0.500 0.500 0.500
```

=====

Entry 5:
## TiP2SN (PBE)

Data for a relaxed TiP2SN crystal. Values from VASP.

Distance to the lowest polymorph of the same formula in meV per atom: 649
Total magnetic moment in μB per formula unit: 2.00
Space group: P4/mmm (123)
ΔE_f (raw) in kJ/mol of formula units: 546

Geometry as Quantum ESPRESSO input:
```
&SYSTEM
  ibrav = 0, nat = 5, ntyp = 4
/
ATOMIC_SPECIES
N 14.01 N.upf
Ti 47.87 Ti.upf
P 30.97 P.upf
S 32.06 S.upf
CELL_PARAMETERS angstrom
4.738 0.000 0.000
0.000 4.738 0.000
0.000 0.000 4.628
ATOMIC_POSITIONS crystal
N 0.500 0.500 0.500
Ti 0.000 0.000 0.000
P 0.500 0.000 0.000
P 0.000 0.500 0.000
S 0.000 0.000 0.500
```

=====

Entry 6:
## TiP2SN (PBE)

Data for a relaxed TiP2SN crystal. Values from VASP.

Distance to the lowest polymorph of the same formula in meV per atom: 0
Total magnetic moment in μB per formula unit: 0.00
Space group: P4/mmm (123)
ΔE_f (raw) in kJ/mol of formula units: 233

Geometry as Quantum ESPRESSO input:
```
&SYSTEM
  ibrav = 0, nat = 5, ntyp = 4
/
ATOMIC_SPECIES
Ti 47.87 Ti.upf
N 14.01 N.upf
P 30.97 P.upf
S 32.06 S.upf
CELL_PARAMETERS angstrom
-2.157 -0.144 -3.335
-1.625 -3.423 1.198
-3.082 2.129 1.902
ATOMIC_POSITIONS crystal
Ti 0.500 0.500 0.500
N 0.000 0.000 0.000
P 0.500 0.000 0.000
P 0.000 0.500 0.000
S 0.000 0.000 0.500
```

=====

Entry 7:
## TiPS2N (PBE)

Data for a relaxed TiPS2N crystal. Values from VASP.

Distance to the lowest polymorph of the same formula in meV per atom: 311
Total magnetic moment in μB per formula unit: 0.00
Space group: P4/mmm (123)
ΔE_f (raw) in kJ/mol of formula units: 255

Geometry as Quantum ESPRESSO input:
```
&SYSTEM
  ibrav = 0, nat = 5, ntyp = 4
/
ATOMIC_SPECIES
N 14.01 N.upf
S 32.06 S.upf
Ti 47.87 Ti.upf
P 30.97 P.upf
CELL_PARAMETERS angstrom
-2.515 -2.787 1.787
2.293 0.154 3.466
-2.253 2.906 1.362
ATOMIC_POSITIONS crystal
N 0.000 0.000 0.000
S 0.500 0.000 0.000
S 0.000 0.500 0.000
Ti 0.500 0.500 0.500
P 0.000 0.000 0.500
```

=====

Entry 8:
## TiPS2N (PBE)

Data for a relaxed TiPS2N crystal. Values from VASP.

Distance to the lowest polymorph of the same formula in meV per atom: 0
Total magnetic moment in μB per formula unit: 0.00
Space group: P4/mmm (123)
ΔE_f (raw) in kJ/mol of formula units: 105

Geometry as Quantum ESPRESSO input:
```
&SYSTEM
  ibrav = 0, nat = 5, ntyp = 4
/
ATOMIC_SPECIES
S 32.06 S.upf
N 14.01 N.upf
Ti 47.87 Ti.upf
P 30.97 P.upf
CELL_PARAMETERS angstrom
-4.244 0.806 -1.663
-1.736 -0.310 4.279
0.449 3.220 0.415
ATOMIC_POSITIONS crystal
S 0.000 0.500 0.000
S 0.500 0.000 0.000
N 0.000 0.000 0.500
Ti 0.500 0.500 0.500
P 0.000 0.000 0.000
```

=====

> What is the formula in the fifth record?

TiP2SN